# 1
Computed, not measured: a geometry-optimized Pm2ThCo3 structure at the PBE level of DFT.

The structure in POSCAR format:
```
Pm2ThCo3
1.0
5.2103 0.0000 0.0000
0.0000 6.5300 -3.7403
0.0000 -0.0184 7.5382
Pm Th Co
4 2 6
Direct
0.7500 0.5069 0.3400 Pm
0.2500 0.4931 0.6600 Pm
0.2500 0.8331 0.3400 Pm
0.7500 0.1669 0.6600 Pm
0.2500 0.1719 0.0000 Th
0.7500 0.8281 0.0000 Th
0.0000 0.1553 0.3106 Co
0.5000 0.8447 0.6894 Co
0.0000 0.5000 0.0000 Co
0.5000 0.5000 0.0000 Co
0.0000 0.8447 0.6894 Co
0.5000 0.1553 0.3106 Co
```

**SG**: Cmcm
**E_form**: -0.13 eV/atom


# 2
Computed, not measured: a geometry-optimized Dy6AsSe2S3 structure at the PBE level of DFT.

The structure in POSCAR format:
```
Dy6AsSe2S3
1.0
-1.6444 2.6934 2.4279
-6.4499 0.3717 -4.7807
-1.1993 -7.6760 4.4384
Dy As Se S
6 1 2 3
Direct
0.3324 0.9318 0.6649 Dy
0.6604 0.5976 0.3209 Dy
0.6676 0.0682 0.3351 Dy
0.9957 0.2521 0.9914 Dy
0.0043 0.7479 0.0086 Dy
0.3396 0.4024 0.6791 Dy
0.5000 0.0000 0.0000 As
0.8318 0.6638 0.6636 Se
0.1682 0.3362 0.3364 Se
0.5000 0.5000 0.0000 S
0.8323 0.1663 0.6646 S
0.1677 0.8337 0.3354 S
```

**SG**: C2/m
**Formation energy from raw total energies**: -2152.9 kJ/mol of formula units


# 3
Computed, not measured: a geometry-optimized Ac3PmSb4 structure at the PBE level of DFT.

The structure in POSCAR format:
```
Ac3PmSb4
1.0
4.7296 0.0000 0.0000
0.0000 8.1854 -0.0749
0.0000 -2.6517 7.7443
Ac Pm Sb
3 1 4
Direct
0.0000 0.0000 0.5000 Ac
0.5000 0.5000 0.5000 Ac
0.0000 0.5000 0.0000 Ac
0.5000 0.0000 0.0000 Pm
0.0000 0.2392 0.2392 Sb
0.5000 0.7557 0.2443 Sb
0.0000 0.7608 0.7608 Sb
0.5000 0.2443 0.7557 Sb
```

**SG**: Cmmm
**Energy above the lowest structure with this stoichiometry**: 0.0 meV per atom
**Formation energy from raw total energies**: -920.2 kJ/mol of formula units


# 4
Computed, not measured: a geometry-optimized SrSnS structure at the PBE level of DFT.

The structure in POSCAR format:
```
SrSnS
1.0
-2.2747 -4.5875 -1.5474
3.0828 1.9421 -1.0436
6.6025 -6.0530 8.2390
Sn S Sr
2 2 2
Direct
0.6569 0.3139 0.0000 Sn
0.3941 0.7882 0.5000 Sn
0.6555 0.3111 0.3219 S
0.6555 0.3111 0.6781 S
0.1522 0.3045 0.7930 Sr
0.1522 0.3045 0.2070 Sr
```

**SG**: Amm2
**Formation energy from raw total energies**: -266.8 kJ/mol of formula units


Number 1: total magnetization 0.005 μB per atom, E_tot -78.02 eV/cell. Number 2: total magnetization 0.000 μB per atom, E_tot -73.93 eV/cell. Number 3: total magnetization 0.000 μB per atom, E_tot -43.10 eV/cell. Number 4: total magnetization 0.000 μB per atom, E_tot -25.15 eV/cell.